{"formula": "Zr6Hg2HO", "functional": "PBE", "state": "optimized geometry", "lattice_angstrom": [[-2.936, 0.187, -5.648], [-4.934, -3.186, 2.459], [-3.886, 7.777, 2.278]], "species": ["Zr", "Zr", "Zr", "Zr", "Zr", "Zr", "Zr", "Zr", "Zr", "Zr", "Zr", "Zr", "Hg", "Hg", "Hg", "Hg", "H", "H", "O", "O"], "frac_coords": [[0.500, 0.250, 0.256], [0.500, 0.250, 0.744], [0.000, 0.750, 0.244], [0.000, 0.750, 0.756], [0.255, 0.005, 0.500], [0.745, 0.005, 0.500], [0.255, 0.494, 0.500], [0.745, 0.494, 0.500], [0.755, 0.506, 0.000], [0.245, 0.506, 0.000], [0.245, 0.995, 0.000], [0.755, 0.995, 0.000], [0.500, 0.750, 0.250], [0.000, 0.250, 0.750], [0.500, 0.750, 0.750], [0.000, 0.250, 0.250], [0.500, 0.250, 0.500], [0.000, 0.750, 0.000], [0.000, 0.750, 0.500], [0.500, 0.250, 0.000]], "dft_energy_ev_per_cell": -134.24, "crystal_system": "tetragonal", "mass_density_g_cm3": 8.8}



{"formula": "HgH2Os", "functional": "PBE", "state": "optimized geometry", "lattice_angstrom": [[-1.972, -1.054, -3.347], [-3.141, -1.182, 2.222], [-4.757, 4.087, -0.905]], "species": ["H", "H", "H", "H", "Os", "Os", "Hg", "Hg"], "frac_coords": [[0.376, 0.125, 0.250], [0.374, 0.625, 0.250], [0.375, 0.624, 0.750], [0.875, 0.626, 0.750], [0.500, 0.500, 0.000], [0.250, 0.750, 0.500], [0.000, 0.000, 0.000], [0.750, 0.250, 0.500]], "dft_energy_ev_per_cell": -30.93, "de_polymorph_mev_per_atom": 0, "crystal_system": "tetragonal", "mass_density_g_cm3": 14.2}



{"formula": "HgHOs3", "functional": "PBE", "state": "optimized geometry", "lattice_angstrom": [[5.055, 0.000, 0.000], [0.000, 5.055, 0.000], [0.000, 0.000, 5.055]], "species": ["H", "Os", "Os", "Os", "Hg"], "frac_coords": [[0.500, 0.500, 0.500], [0.000, 0.500, 0.000], [0.000, 0.000, 0.500], [0.500, 0.000, 0.000], [0.000, 0.000, 0.000]], "dft_energy_ev_per_cell": -18.15, "de_polymorph_mev_per_atom": 2918, "crystal_system": "cubic", "mass_density_g_cm3": 9.9}



{"formula": "HgHOs3", "functional": "PBE", "state": "optimized geometry", "lattice_angstrom": [[4.031, 0.000, 0.000], [0.000, 4.031, 0.000], [0.000, 0.000, 4.031]], "species": ["H", "Os", "Os", "Os", "Hg"], "frac_coords": [[0.000, 0.000, 0.000], [0.000, 0.500, 0.000], [0.000, 0.000, 0.500], [0.500, 0.000, 0.000], [0.500, 0.500, 0.500]], "dft_energy_ev_per_cell": -32.74, "de_polymorph_mev_per_atom": 0, "crystal_system": "cubic", "mass_density_g_cm3": 19.6}



{"formula": "HgH2Os", "functional": "PBE", "state": "optimized geometry", "lattice_angstrom": [[0.000, 2.766, 2.766], [2.766, 0.000, 2.766], [2.766, 2.766, 0.000]], "species": ["H", "H", "Os", "Hg"], "frac_coords": [[0.250, 0.250, 0.250], [0.750, 0.750, 0.750], [0.000, 0.000, 0.000], [0.500, 0.500, 0.500]], "dft_energy_ev_per_cell": -13.02, "de_polymorph_mev_per_atom": 611, "crystal_system": "cubic", "mass_density_g_cm3": 15.4}



{"formula": "SnHgH2Os", "functional": "PBE", "state": "optimized geometry", "lattice_angstrom": [[3.705, 0.000, 0.000], [0.000, 5.798, 0.000], [0.000, 0.000, 3.705]], "species": ["H", "H", "Os", "Hg", "Sn"], "frac_coords": [[0.000, 0.000, 0.500], [0.500, 0.000, 0.000], [0.000, 0.500, 0.000], [0.000, 0.000, 0.000], [0.500, 0.500, 0.500]], "dft_energy_ev_per_cell": -18.34, "crystal_system": "tetragonal", "mass_density_g_cm3": 10.7}